VASP calculation (PBE) on a geometry-optimized BeZn2Se structure.

Unit cell a=3.459 b=3.459 c=5.968 alpha=90.00 beta=90.00 gamma=90.00
Element x y z (fractional)
1 Be 0.500 0.000 0.500
2 Zn 0.000 0.000 0.000
3 Zn 0.500 0.500 0.000
4 Se 0.000 0.500 0.500

Values from the calculation:
For the formation energy from raw total energies, the calculation gives 0.2209 eV per atom. The value obtained for the total energy is -2.219 eV per atom. The space group is P4/mmm (123). Its energy above the most stable polymorph in this dataset is 232.9 meV per atom.

***

VASP calculation (PBE) on a geometry-optimized BeZn2Se structure.

Unit cell a=4.482 b=4.482 c=5.613 alpha=81.36 beta=81.36 gamma=45.11
Element x y z (fractional)
1 Be 0.544 0.544 0.567
2 Zn 0.097 0.097 0.880
3 Zn 0.817 0.817 0.724
4 Se 0.042 0.042 0.329

Values from the calculation:
For the formation energy from raw total energies, the calculation gives -0.0120 eV per atom. The value obtained for the total energy is -2.452 eV per atom. The space group is Cm (8). Its energy above the most stable polymorph in this dataset is 0.0 meV per atom.

***

VASP calculation (PBE) on a geometry-optimized BeZn2Se structure.

Unit cell a=4.537 b=4.537 c=4.537 alpha=60.00 beta=60.00 gamma=60.00
Element x y z (fractional)
1 Be 0.500 0.500 0.500
2 Zn 0.000 0.000 0.000
3 Zn 0.250 0.250 0.250
4 Se 0.750 0.750 0.750

Values from the calculation:
For the formation energy from raw total energies, the calculation gives 0.4764 eV per atom. The value obtained for the total energy is -1.963 eV per atom. The space group is F-43m (216). Its energy above the most stable polymorph in this dataset is 488.4 meV per atom.

***

VASP calculation (PBE) on a geometry-optimized BeZn2Se structure.

Unit cell a=7.421 b=7.421 c=7.421 alpha=25.23 beta=25.23 gamma=25.23
Element x y z (fractional)
1 Be 0.250 0.250 0.250
2 Zn 0.994 0.994 0.994
3 Zn 0.506 0.506 0.506
4 Se 0.750 0.750 0.750

Values from the calculation:
For the formation energy from raw total energies, the calculation gives 0.2617 eV per atom. The value obtained for the total energy is -2.178 eV per atom. The space group is R-3m (166). Its energy above the most stable polymorph in this dataset is 273.7 meV per atom.

***

VASP calculation (PBE) on a geometry-optimized BeZn2Se structure.

Unit cell a=2.958 b=2.722 c=7.704 alpha=90.00 beta=90.00 gamma=90.00
Element x y z (fractional)
1 Be 0.500 0.250 0.250
2 Zn 0.000 0.750 0.060
3 Zn 0.000 0.750 0.440
4 Se 0.500 0.750 0.750

Values from the calculation:
For the formation energy from raw total energies, the calculation gives 0.1477 eV per atom. The value obtained for the total energy is -2.292 eV per atom. The space group is Pmmm (47). Its energy above the most stable polymorph in this dataset is 159.7 meV per atom.

***

VASP calculation (PBE) on a geometry-optimized BeZn2Se structure.

Unit cell a=4.556 b=4.556 c=4.556 alpha=60.00 beta=60.00 gamma=60.00
Element x y z (fractional)
1 Be 0.000 0.000 0.000
2 Zn 0.250 0.250 0.250
3 Zn 0.750 0.750 0.750
4 Se 0.500 0.500 0.500

Values from the calculation:
For the formation energy from raw total energies, the calculation gives 0.5572 eV per atom. The value obtained for the total energy is -1.882 eV per atom. The space group is Fm-3m (225). Its energy above the most stable polymorph in this dataset is 569.2 meV per atom.